## TiBi2Pt (PBE)

Data for TiBi2Pt after structural relaxation.

a = 7.067 Å, b = 7.067 Å, c = 7.067 Å
α = 90.00°, β = 90.00°, γ = 90.00°
Space group Fm-3m (No. 225)
Inequivalent atoms, fractional coordinates:
Ti1 0.000 0.000 0.000 [4 per cell]
Bi1 0.250 0.250 0.250 [8 per cell]
Pt1 0.000 0.000 0.500 [4 per cell]

Computed properties:
Its calculated density is 12.440 g cm⁻³. As for the offset from the most stable computed form: 0 meV/atom. The formation energy is 0.0897 eV per atom.

## Ba6P2SeBr3 (PBE)

Data for Ba6P2SeBr3 after structural relaxation.

a = 8.156 Å, b = 14.131 Å, c = 8.333 Å
α = 90.00°, β = 109.05°, γ = 90.00°
Space group C2/m (No. 12)
Inequivalent atoms, fractional coordinates:
Ba1 0.229 0.000 0.218 [4 per cell]
Ba2 0.245 0.328 0.218 [8 per cell]
P1 0.000 0.167 0.000 [4 per cell]
Se1 0.000 0.500 0.000 [2 per cell]
Br1 0.000 0.000 0.500 [2 per cell]
Br2 0.000 0.335 0.500 [4 per cell]

Computed properties:
The formation energy from raw total energies comes out at -1.675 eV per atom. Its calculated density is 4.406 g cm⁻³.

## Li3Ac2YPb4 (PBE)

Data for Li3Ac2YPb4 after structural relaxation.

a = 4.817 Å, b = 4.817 Å, c = 12.218 Å
α = 90.00°, β = 90.00°, γ = 90.00°
Space group P-4m2 (No. 115)
Inequivalent atoms, fractional coordinates:
Li1 0.000 0.000 0.000 [1 per cell]
Li2 0.000 0.500 0.625 [2 per cell]
Ac1 0.000 0.500 0.270 [2 per cell]
Y1 0.500 0.500 0.000 [1 per cell]
Pb1 0.000 0.000 0.500 [1 per cell]
Pb2 0.000 0.500 0.847 [2 per cell]
Pb3 0.500 0.500 0.500 [1 per cell]

Computed properties:
Its calculated density is 8.158 g cm⁻³. The formation energy is -0.4837 eV per atom.

Number 1: E -85.36 eV per cell. Number 2: E -101.92 eV per cell. Number 3: E -40.09 eV per cell.